1.
This record from Alexandria describes crystalline Na3LaHo2Se6 at its relaxed geometry. The functional is PBE.

```
Na3LaHo2Se6
1.0
7.2976 -0.0018 -0.0016
-3.6486 6.3200 -0.0016
-1.2186 -2.1101 7.0006
Ho Se Na La
2 6 3 1
Direct
0.6670 0.3330 0.0000
0.3330 0.6670 0.0000
0.7314 0.7314 0.2319
0.2686 0.2686 0.7681
0.0772 0.4231 0.2308
0.5769 0.9228 0.7692
0.4231 0.0772 0.2308
0.9228 0.5769 0.7692
0.5000 0.5000 0.5000
0.1654 0.8346 0.5000
0.8346 0.1654 0.5000
0.0000 0.0000 0.0000
```

Energy: -4.963 eV per atom
DOS(E_F): 0.0 states/eV per cell

2.
This record from Alexandria describes crystalline CsHo2AuSe4 at its relaxed geometry. The functional is PBE.

```
CsHo2AuSe4
1.0
4.2084 0.0000 0.0000
-2.1042 7.4198 0.0000
0.0000 0.0000 14.7613
Se Au Ho Cs
8 2 4 2
Direct
0.0000 0.0000 0.5000
0.2524 0.5048 0.4032
0.5573 0.1146 0.2500
0.0000 0.0000 0.0000
0.7476 0.4952 0.9032
0.2524 0.5048 0.0968
0.4427 0.8854 0.7500
0.7476 0.4952 0.5968
0.8381 0.6762 0.7500
0.1619 0.3238 0.2500
0.3726 0.7453 0.5696
0.3726 0.7453 0.9304
0.6274 0.2547 0.0696
0.6274 0.2547 0.4304
0.1227 0.2454 0.7500
0.8773 0.7546 0.2500
```

Energy: -4.809 eV per atom

3.
This record from Alexandria describes crystalline Th5Te12H3 at its relaxed geometry. The functional is PBE.

```
Th5Te12H3
1.0
15.9663 0.0000 0.0000
-5.3221 15.0532 0.0000
-5.3221 -7.5266 13.0365
H Th Te
12 20 48
Direct
0.1250 0.8750 0.7500
0.3750 0.7500 0.6250
0.7500 0.8750 0.6250
0.2500 0.6250 0.8750
0.3750 0.6250 0.2500
0.7500 0.3750 0.1250
0.6250 0.2500 0.3750
0.1250 0.2500 0.8750
0.8750 0.7500 0.1250
0.2500 0.1250 0.3750
0.6250 0.3750 0.7500
0.8750 0.1250 0.2500
0.5000 0.5000 0.5000
0.8750 0.2500 0.6250
0.3750 0.1250 0.7500
0.0000 0.5000 0.5000
0.7500 0.6250 0.3750
0.5000 0.5000 0.0000
0.8750 0.6250 0.7500
0.2500 0.3750 0.6250
0.6250 0.8750 0.2500
0.0000 0.0000 0.0000
0.1250 0.3750 0.2500
0.5000 0.0000 0.0000
0.5000 0.0000 0.5000
0.6250 0.7500 0.8750
0.0000 0.5000 0.0000
0.7500 0.1250 0.8750
0.0000 0.0000 0.5000
0.1250 0.7500 0.3750
0.2500 0.8750 0.1250
0.3750 0.2500 0.1250
0.1201 0.1788 0.2269
0.3212 0.7731 0.3799
0.9519 0.3932 0.2731
0.1788 0.1201 0.7269
0.5587 0.9519 0.6788
0.4519 0.7731 0.8932
0.8799 0.8212 0.7731
0.6788 0.2269 0.6201
0.8212 0.8799 0.2731
0.1788 0.0587 0.9519
0.1068 0.3799 0.0587
0.7269 0.6201 0.1788
0.8799 0.0587 0.6068
0.0587 0.1788 0.4519
0.9413 0.8212 0.5481
0.6068 0.0481 0.2269
0.2731 0.8932 0.9519
0.6201 0.8932 0.4413
0.7731 0.3212 0.8799
0.2269 0.5481 0.6068
0.0481 0.6068 0.7269
0.7269 0.1068 0.0481
0.5587 0.6068 0.3799
0.1201 0.9413 0.3932
0.3212 0.5481 0.4413
0.9519 0.5587 0.1788
0.6068 0.5587 0.8799
0.8932 0.6201 0.9413
0.4413 0.0481 0.3212
0.2269 0.6788 0.1201
0.4413 0.3932 0.6201
0.2731 0.3799 0.8212
0.3932 0.4413 0.1201
0.5481 0.3212 0.9413
0.5481 0.2269 0.1068
0.8932 0.2731 0.4519
0.9413 0.1201 0.8932
0.6201 0.7269 0.6788
0.4519 0.6788 0.0587
0.6788 0.4519 0.5587
0.3932 0.9519 0.7731
0.3799 0.1068 0.5587
0.8212 0.9413 0.0481
0.0587 0.8799 0.1068
0.0481 0.4413 0.8212
0.1068 0.7269 0.5481
0.3799 0.2731 0.3212
0.7731 0.4519 0.3932
```

Energy: -4.417 eV per atom
DOS(E_F): 67.9 states/eV per cell

4.
This record from Alexandria describes crystalline TmSi2Ag4 at its relaxed geometry. The functional is PBE.

```
TmSi2Ag4
1.0
4.0583 0.0000 0.0000
0.0000 3.9560 -1.1749
0.0000 0.1922 7.8944
Si Tm Ag
2 1 4
Direct
0.5000 0.5743 0.1487
0.5000 0.4257 0.8513
0.0000 0.0000 0.0000
0.5000 0.1762 0.3523
0.5000 0.8238 0.6477
0.0000 0.6790 0.3579
0.0000 0.3210 0.6421
```

Energy: -4.038 eV per atom
DOS(E_F): 2.3 states/eV per cell

5.
This record from Alexandria describes crystalline RbGa2Br3 at its relaxed geometry. The functional is PBE.

```
RbGa2Br3
1.0
4.6456 0.0000 0.0000
0.0000 7.4513 2.5044
0.0000 1.2843 12.7773
Ga Br Rb
4 6 2
Direct
0.7500 0.7362 0.4999
0.2500 0.8141 0.1737
0.7500 0.1859 0.8263
0.2500 0.2638 0.5001
0.2500 0.4585 0.6540
0.2500 0.2253 0.9982
0.7500 0.5415 0.3460
0.7500 0.0130 0.6526
0.7500 0.7747 0.0018
0.2500 0.9870 0.3474
0.2500 0.7025 0.8247
0.7500 0.2975 0.1753
```

Energy: -2.912 eV per atom
DOS(E_F): 0.0 states/eV per cell

6.
This record from Alexandria describes crystalline KCdAg2 at its relaxed geometry. The functional is PBE.

```
KCdAg2
1.0
-6.6537 2.5477 7.9573
-4.4966 0.8536 9.6505
-3.9914 3.9839 9.0707
Ag K Cd
2 1 1
Direct
0.2528 0.2528 0.2528
0.9899 0.9899 0.9899
0.7458 0.7458 0.7458
0.5116 0.5116 0.5116
```

Energy of formation: 0.204 eV per atom
Relative energy among the computed polymorphs: 0.960 eV per formula unit
DOS(E_F): 0.2 states/eV per cell

7.
This record from Alexandria describes crystalline LaGd3 at its relaxed geometry. The functional is PBE.

```
LaGd3
1.0
3.6669 0.0000 0.0000
0.0000 5.8373 0.0000
0.0000 0.0000 6.3317
Gd La
3 1
Direct
0.5000 0.5000 0.8341
0.0000 0.0000 0.9973
0.5000 0.0000 0.4994
0.0000 0.5000 0.3359
```

Energy of formation: 0.023 eV per atom
Relative energy among the computed polymorphs: 0.050 eV per formula unit
DOS(E_F): 7.9 states/eV per cell

8.
This record from Alexandria describes crystalline Tb2TmHgN at its relaxed geometry. The functional is PBE.

```
Tb2TmHgN
1.0
-2.0525 2.0881 3.6944
-3.5602 -3.2671 -0.1313
2.5023 -2.8473 2.9995
Tb Tm N Hg
2 1 1 1
Direct
0.0000 0.0000 0.5000
0.0000 0.5000 0.0000
0.5000 0.0000 0.0000
0.0000 0.0000 0.0000
0.5000 0.5000 0.5000
```

Energy: -5.397 eV per atom
DOS(E_F): 3.2 states/eV per cell

9.
This record from Alexandria describes crystalline Y3Cd3Hg2 at its relaxed geometry. The functional is PBE.

```
Y3Cd3Hg2
1.0
3.8779 0.0000 0.0000
0.0000 6.7824 -3.9158
0.0000 0.0000 7.8316
Hg Cd Y
2 3 3
Direct
0.0000 0.3333 0.6667
0.0000 0.6667 0.3333
0.0000 0.2281 0.0000
0.0000 0.7719 0.7719
0.0000 0.0000 0.2281
0.5000 0.6012 0.0000
0.5000 0.3988 0.3988
0.5000 0.0000 0.6012
```

Energy of formation: -0.368 eV per atom
DOS(E_F): 6.4 states/eV per cell

10.
This record from Alexandria describes crystalline Li3B4C4 at its relaxed geometry. The functional is PBE.

```
Li3B4C4
1.0
-1.2880 1.8688 -1.5047
-0.5697 -4.7209 -5.3755
-8.2993 -2.9358 3.4579
B Li C
8 6 8
Direct
0.0000 0.2500 0.3310
0.5000 0.7500 0.4161
0.5000 0.2500 0.0791
0.0000 0.7500 0.6690
0.0000 0.2500 0.8354
0.5000 0.7500 0.9209
0.5000 0.2500 0.5839
0.0000 0.7500 0.1646
0.5000 0.4986 0.2338
0.0000 0.0000 0.5000
0.5000 0.9986 0.7662
0.0000 0.5000 0.5000
0.5000 0.5014 0.7662
0.5000 0.0014 0.2338
0.0000 0.2500 0.1655
0.0000 0.2500 0.6670
0.5000 0.2500 0.9151
0.5000 0.7500 0.0849
0.0000 0.7500 0.8345
0.5000 0.7500 0.5838
0.0000 0.7500 0.3330
0.5000 0.2500 0.4162
```

Energy of formation: -0.224 eV per atom
Relative energy among the computed polymorphs: 0.183 eV per formula unit
DOS(E_F): 2.7 states/eV per cell

11.
This record from Alexandria describes crystalline CeNdHoIn at its relaxed geometry. The functional is PBE.

```
CeNdHoIn
1.0
-1.7193 1.8657 -4.8255
-5.3353 0.6006 -0.9466
-2.1558 4.9929 -0.3812
Ho In Nd Ce
1 1 1 1
Direct
0.0000 0.0000 0.0000
0.2500 0.2500 0.2500
0.5000 0.5000 0.5000
0.7500 0.7500 0.7500
```

Energy of formation: -0.078 eV per atom
DOS(E_F): 6.0 states/eV per cell

12.
This record from Alexandria describes crystalline LiP2W at its relaxed geometry. The functional is PBE.

```
LiP2W
1.0
-1.8145 1.0491 1.6055
-1.1895 -0.1834 -2.3499
-3.2098 -9.1286 2.3373
P Li W
2 1 1
Direct
0.5000 0.5000 0.3083
0.0000 0.0000 0.9430
0.5000 0.5000 0.7453
0.0000 0.0000 0.5035
```

Energy of formation: 0.289 eV per atom
Relative energy among the computed polymorphs: 2.516 eV per formula unit
DOS(E_F): 2.0 states/eV per cell

What mass density values result from the calculations? In sequence: 5.20, 7.03, 5.71, 8.54, 3.61, 6.44, 7.48, 10.57, 8.10, 2.01, 8.18, 6.26 Mg/m³.